# Na3MnBe

A relaxed Na3MnBe crystal (PBE, Alexandria via LeMat-Bulk).

Output
Calculated formation energy: 1.26 eV/atom
Energy above the lowest structure with this stoichiometry: 6.00 kcal/mol of atoms
SG: Pm-3m, No. 221

a b c (Å): 5.651 5.651 5.651
angles (deg): 90.00 90.00 90.00
Each line ends with the local moment (μB).
Fractional positions:
Na 0.000 0.500 0.000  0.00
Na 0.000 0.000 0.500  -0.01
Na 0.500 0.000 0.000  0.01
Mn 0.000 0.000 0.000  4.05
Be 0.500 0.500 0.500  0.00

---

# LiAc12La3

A relaxed LiAc12La3 crystal (PBE, Alexandria via LeMat-Bulk).

Output
Calculated formation energy: 0.04 eV/atom
SG: P4/mmm, No. 123

a b c (Å): 5.550 5.550 22.035
angles (deg): 90.00 90.00 90.00
Fractional positions:
Li 0.000 0.000 0.000
Ac 0.500 0.500 0.000
Ac 0.500 0.500 0.246
Ac 0.500 0.500 0.500
Ac 0.500 0.500 0.754
Ac 0.500 0.000 0.123
Ac 0.500 0.000 0.374
Ac 0.500 0.000 0.626
Ac 0.500 0.000 0.877
Ac 0.000 0.500 0.123
Ac 0.000 0.500 0.374
Ac 0.000 0.500 0.626
Ac 0.000 0.500 0.877
La 0.000 0.000 0.245
La 0.000 0.000 0.500
La 0.000 0.000 0.755

---

# Be2CuP

A relaxed Be2CuP crystal (PBE, Alexandria via LeMat-Bulk).

Output
Calculated formation energy: 0.13 eV/atom
SG: Cm, No. 8

a b c (Å): 3.995 3.995 3.784
angles (deg): 79.99 79.99 48.77
Fractional positions:
P 0.267 0.267 0.177
Cu 0.493 0.493 0.530
Be 0.002 0.002 0.984
Be 0.738 0.738 0.809